# DyHoEr2Rh4

A geometry-optimized DyHoEr2Rh4 structure (PBE, Alexandria via LeMat-Bulk).

Summary:
Energy of formation from the pure elements in eV per atom: -0.92
DOS at the Fermi energy in states/eV/cell: 3.18
Space group: No. 166
E in eV per cell: -55.07

abc: 4.814 4.814 8.346
angles: 73.24 73.24 60.00
Fractional positions:
Dy: 0.000 0.000 0.000
Ho: 0.500 0.500 0.500
Er: 0.750 0.750 0.749
Er: 0.250 0.250 0.251
Rh: 0.375 0.375 0.874
Rh: 0.875 0.875 0.376
Rh: 0.125 0.125 0.624
Rh: 0.625 0.625 0.126



# Dy2HoErRh4

A geometry-optimized Dy2HoErRh4 structure (PBE, Alexandria via LeMat-Bulk).

Summary:
Energy of formation from the pure elements in eV per atom: -0.90
DOS at the Fermi energy in states/eV/cell: 3.27
Space group: No. 166
E in eV per cell: -54.99

abc: 4.825 4.825 8.368
angles: 73.24 73.24 60.00
Fractional positions:
Dy: 0.750 0.750 0.750
Dy: 0.250 0.250 0.250
Ho: 0.000 0.000 0.000
Er: 0.500 0.500 0.500
Rh: 0.375 0.375 0.874
Rh: 0.875 0.875 0.376
Rh: 0.125 0.125 0.624
Rh: 0.625 0.625 0.126



# DyHo2Er3S6

A geometry-optimized DyHo2Er3S6 structure (PBE, Alexandria via LeMat-Bulk).

Summary:
Formation energy from raw total energies in kJ/mol of atoms: -190.1
DOS at the Fermi energy in states/eV/cell: 4.79
Space group: No. 12
E in eV per cell: -75.86

abc: 6.719 6.719 6.718
angles: 99.56 99.56 120.24
Fractional positions:
Dy: 0.000 0.000 0.000
Ho: 0.333 0.667 0.000
Ho: 0.667 0.333 0.000
Er: 0.166 0.834 0.500
Er: 0.834 0.166 0.500
Er: 0.500 0.500 0.500
S: 0.916 0.581 0.747
S: 0.750 0.750 0.252
S: 0.084 0.419 0.253
S: 0.581 0.916 0.747
S: 0.250 0.250 0.748
S: 0.419 0.084 0.253